(1)
The following is a PBEsol calculation of an optimized crystal structure of IrRu3, from Alexandria via LeMat-Bulk.

Cell: 2.671 4.631 4.631 Å, 99.60 106.76 90.00°
Fractional positions:
Ru (0.751, 0.253, 0.501)
Ru (0.500, 0.500, 0.000)
Ru (0.249, 0.747, 0.499)
Ir (0.000, 0.000, 0.000)

Output
crystal system = monoclinic
total DFT energy (no corrections) = -40.201 eV for the cell shown


(2)
The following is a PBEsol calculation of an optimized crystal structure of Ba2CdTc, from Alexandria via LeMat-Bulk.

Cell: 3.752 3.752 9.042 Å, 90.00 90.00 90.00°
Fractional positions:
Cd (0.000, 0.000, 0.576)
Ba (0.000, 0.000, 0.920)
Ba (0.500, 0.500, 0.339)
Tc (0.500, 0.500, 0.665)

Output
crystal system = tetragonal
total DFT energy (no corrections) = -14.737 eV for the cell shown
energy above the most stable polymorph in this dataset = 0.000 eV per atom


(3)
The following is a PBEsol calculation of an optimized crystal structure of InTePb2, from Alexandria via LeMat-Bulk.

Cell: 4.111 5.114 5.496 Å, 90.00 90.00 90.00°
Fractional positions:
Pb (0.000, 0.000, 0.000)
Pb (0.500, 0.000, 0.500)
In (0.000, 0.500, 0.500)
Te (0.500, 0.500, 0.000)

Output
uncorrected formation energy = -0.046 eV per atom
crystal system = orthorhombic
total DFT energy (no corrections) = -14.691 eV for the cell shown
energy above the most stable polymorph in this dataset = 0.000 eV per atom


(4)
The following is a PBEsol calculation of an optimized crystal structure of La2YNi2, from Alexandria via LeMat-Bulk.

Cell: 3.901 7.634 7.634 Å, 90.00 90.00 90.00°
Fractional positions:
Ni (0.000, 0.123, 0.377)
Ni (0.000, 0.377, 0.877)
Ni (0.000, 0.623, 0.123)
Ni (0.000, 0.877, 0.623)
Y (0.000, 0.500, 0.500)
Y (0.000, 0.000, 0.000)
La (0.500, 0.834, 0.334)
La (0.500, 0.334, 0.166)
La (0.500, 0.166, 0.666)
La (0.500, 0.666, 0.834)

Output
crystal system = tetragonal
total DFT energy (no corrections) = -61.952 eV for the cell shown
energy above the most stable polymorph in this dataset = 0.000 eV per atom


(5)
The following is a PBEsol calculation of an optimized crystal structure of CdReBr2, from Alexandria via LeMat-Bulk.

Cell: 3.029 4.662 6.827 Å, 109.96 102.81 90.00°
Fractional positions:
Cd (0.572, 0.572, 0.143)
Br (0.743, 0.243, 0.485)
Br (0.924, 0.924, 0.848)
Re (0.262, 0.762, 0.524)

Output
uncorrected formation energy = 0.603 eV per atom
crystal system = orthorhombic
total DFT energy (no corrections) = -15.857 eV for the cell shown
energy above the most stable polymorph in this dataset = 0.324 eV per atom


(6)
The following is a PBEsol calculation of an optimized crystal structure of TlP, from Alexandria via LeMat-Bulk.

Cell: 3.943 3.943 3.943 Å, 60.00 60.00 60.00°
Fractional positions:
Tl (0.500, 0.500, 0.500)
P (0.000, 0.000, 0.000)

Output
crystal system = cubic
total DFT energy (no corrections) = -7.737 eV for the cell shown


(7)
The following is a PBEsol calculation of an optimized crystal structure of Mg2ZrCd, from Alexandria via LeMat-Bulk.

Cell: 2.981 4.470 6.322 Å, 90.00 90.00 90.00°
Fractional positions:
Cd (0.500, 0.500, 0.747)
Mg (0.500, 0.500, 0.249)
Mg (0.000, 0.000, 0.999)
Zr (0.000, 0.000, 0.505)

Output
crystal system = orthorhombic
total DFT energy (no corrections) = -13.808 eV for the cell shown


(8)
The following is a PBEsol calculation of an optimized crystal structure of Rb3IBr, from Alexandria via LeMat-Bulk.

Cell: 6.900 6.900 6.900 Å, 90.00 90.00 90.00°
Fractional positions:
I (0.000, 0.000, 0.000)
Br (0.500, 0.500, 0.500)
Rb (0.000, 0.500, 0.000)
Rb (0.000, 0.000, 0.500)
Rb (0.500, 0.000, 0.000)

Output
uncorrected formation energy = -0.921 eV per atom
crystal system = cubic
total DFT energy (no corrections) = -11.315 eV for the cell shown